Entry from Alexandria: a geometry-optimized Y2FeIr structure (GGA-PBE).

N(E_F)	1.0221	states/eV per atom
calculated volume	22.2	A^3/atom
E_form	0.05	eV/atom
energy	-7.513	eV per atom

Cell: 7.298 3.257 7.541 Å, 90.00 98.54 90.00°
Space group C2/m (No. 12)
Asymmetric unit:
Y: 0.248 0.000 0.238 [4 per cell]
Fe: 0.000 0.000 0.500 [2 per cell]
Ir: 0.000 0.500 0.000 [2 per cell]